## RbAc3V4O12 (PBE with a Hubbard U)

Data for a geometry-optimized RbAc3V4O12 structure.

The structure in POSCAR format:
```
RbAc3V4O12
1.0
6.1064 3.5256 3.1892
-6.1064 3.5256 3.1892
0.0000 -7.0511 3.1892
Rb Ac V O
1 3 4 12
direct
0.0000 0.0000 0.0000 Rb
0.0000 0.5493 0.4507 Ac
0.4507 0.0000 0.5493 Ac
0.5493 0.4507 0.0000 Ac
0.0510 0.5000 0.9490 V
0.5000 0.5000 0.5000 V
0.5000 0.9490 0.0510 V
0.9490 0.0510 0.5000 V
0.0326 0.6245 0.7904 O
0.0942 0.9058 0.5000 O
0.2096 0.3755 0.9674 O
0.3457 0.6543 0.5000 O
0.3755 0.9674 0.2096 O
0.5000 0.0942 0.9058 O
0.5000 0.3457 0.6543 O
0.6245 0.7903 0.0326 O
0.6543 0.5000 0.3457 O
0.7904 0.0326 0.6245 O
0.9058 0.5000 0.0942 O
0.9674 0.2096 0.3755 O
```

Computed properties:
DFT total energy	-7.42	eV per atom
Fermi-level density of states	9.32	states/eV per cell
symmetry	R32, No. 155